Here is crystalline BaU3O9 at its relaxed geometry from Alexandria. Energies are from PBE.

It has space group P6/mmm (No. 191), with a = 8.0303 Å, b = 8.0303 Å, c = 4.2020 Å, α = 90.00°, β = 90.00° and γ = 120.00°. The distinct sites, in fractional coordinates, are Ba at (0.0000, 0.0000, 0.0000), U at (0.0000, 0.5000, 0.5000), O at (0.0000, 0.5000, 0.0000) and O at (0.1985, 0.3971, 0.5000).

As for the formation energy (no corrections): -3.110 eV per atom. As for the density of states at the Fermi level: 9.97 states/eV per cell.